Density functional theory data (PBE-GGA) for crystalline LaSnBi at its relaxed geometry.

The structure in POSCAR format:
```
LaSnBi
1.0
4.557 0.000 0.000
0.000 4.246 0.000
0.000 0.000 10.234
La Sn Bi
2 2 2
direct
0.000 0.001 0.000
0.500 0.999 0.500
0.000 0.498 0.638
0.500 0.502 0.138
0.000 0.499 0.335
0.500 0.501 0.835
```

* E above lowest polymorph: 0.2311 eV per atom

***

Density functional theory data (PBE-GGA) for crystalline AuSeN2F at its relaxed geometry.

The structure in POSCAR format:
```
AuSeN2F
1.0
3.800 0.000 0.000
0.000 3.800 0.000
0.000 0.000 6.029
Au Se N F
1 1 2 1
direct
0.000 0.000 0.000
0.500 0.500 0.000
0.000 0.500 0.500
0.500 0.000 0.500
0.500 0.500 0.500
```

* raw formation energy: 2100 meV per atom
* E above lowest polymorph: 0.8030 eV per atom

***

Density functional theory data (PBE-GGA) for crystalline RbAcTa2O7 at its relaxed geometry.

The structure in POSCAR format:
```
RbAcTa2O7
1.0
3.931 0.000 0.000
0.000 3.931 0.000
0.000 0.000 11.495
Rb Ac Ta O
1 1 2 7
direct
0.000 0.000 0.000
0.000 0.000 0.500
0.500 0.500 0.294
0.500 0.500 0.706
0.000 0.500 0.330
0.000 0.500 0.670
0.500 0.000 0.330
0.500 0.000 0.670
0.500 0.500 0.138
0.500 0.500 0.500
0.500 0.500 0.862
```

* raw formation energy: -2952 meV per atom

***

Calculated D(E_F) (states/eV/cell), listed in the same order as above: 3.3, 3.2, 0.0
Calculated total DFT energy (no corrections) (eV per atom), listed in the same order as above: -4.78, -2.96, -8.72
Calculated density (kg/m³), listed in the same order as above: 7826, 6160, 7350